Entry 1:
Computed, not measured: a relaxed Si2Sn2Os3 crystal at the GGA-PBE level of DFT.

a = 7.433 Å, b = 7.433 Å, c = 7.433 Å
α = 34.43°, β = 34.43°, γ = 34.43°
Positions (direct):
Os (0.122, 0.122, 0.122)
Os (0.376, 0.376, 0.376)
Os (0.630, 0.630, 0.630)
Sn (0.506, 0.506, 0.506)
Sn (0.989, 0.989, 0.989)
Si (0.248, 0.248, 0.248)
Si (0.754, 0.754, 0.754)

Values from the calculation:
ρ ... 12.3 Mg/m³
Total energy ... -7.29 eV per atom
SG ... R3m

Entry 2:
Computed, not measured: a relaxed Be2ZnGe crystal at the GGA-PBE level of DFT.

a = 4.218 Å, b = 4.218 Å, c = 4.218 Å
α = 60.00°, β = 60.00°, γ = 60.00°
Positions (direct):
Be (0.000, 0.000, 0.000)
Be (0.750, 0.750, 0.750)
Zn (0.250, 0.250, 0.250)
Ge (0.500, 0.500, 0.500)

Values from the calculation:
ρ ... 4.9 Mg/m³
Total energy ... -2.77 eV per atom
SG ... F-43m

Copy entry 2 word for word.
Computed, not measured: a relaxed Be2ZnGe crystal at the GGA-PBE level of DFT.

a = 4.218 Å, b = 4.218 Å, c = 4.218 Å
α = 60.00°, β = 60.00°, γ = 60.00°
Positions (direct):
Be (0.000, 0.000, 0.000)
Be (0.750, 0.750, 0.750)
Zn (0.250, 0.250, 0.250)
Ge (0.500, 0.500, 0.500)

Values from the calculation:
ρ ... 4.9 Mg/m³
Total energy ... -2.77 eV per atom
SG ... F-43m